Here is an optimized crystal structure of AcTb12Th5 from Alexandria. Energies are from PBE-GGA.

```
18
Lattice="7.5388 -7.6681 0.0000 7.5388 7.6681 0.0000 0.0000 0.0000 5.1019" Properties=species:S:1:pos:R:3 pbc="T T T"
Ac 0.0000 0.0000 0.0000
Tb 5.0740 5.0580 0.0000
Tb 2.4967 0.0000 2.5510
Tb 5.0942 2.5325 2.5510
Tb 10.0035 5.0580 0.0000
Tb 5.0969 0.0000 0.0000
Tb 9.9833 2.5325 2.5510
Tb 5.0942 -2.5325 2.5510
Tb 9.9806 0.0000 0.0000
Tb 5.0740 -5.0580 0.0000
Tb 9.9833 -2.5325 2.5510
Tb 12.5809 0.0000 2.5510
Tb 10.0035 -5.0580 0.0000
Th 7.5388 5.0317 2.5510
Th 7.5388 2.5339 0.0000
Th 7.5388 0.0000 2.5510
Th 7.5388 -2.5339 0.0000
Th 7.5388 -5.0317 2.5510
```

Symmetry ... Cmmm, No. 65
Total magnetic moment ... 0.00 μB/cell
ρ ... 9274 kg/m³
Energy of formation from the pure elements ... 0.042 eV/atom
Crystal system ... orthorhombic

***

Here is an optimized crystal structure of AcTbTh2 from Alexandria. Energies are from PBE-GGA.

```
4
Lattice="1.7937 1.0356 12.7829 -1.7937 1.0356 12.7829 0.0000 -2.0712 12.7829" Properties=species:S:1:pos:R:3 pbc="T T T"
Ac 0.0000 0.0000 0.0000
Tb 0.0000 0.0000 19.1743
Th 0.0000 0.0000 3.4882
Th 0.0000 0.0000 34.8604
```

Symmetry ... R-3m, No. 166
Total magnetic moment ... 0.00 μB/cell
ρ ... 9907 kg/m³
Energy of formation from the pure elements ... 0.251 eV/atom
Crystal system ... trigonal

***

Here is an optimized crystal structure of AcTb2Th from Alexandria. Energies are from PBE-GGA.

```
4
Lattice="5.2422 0.0000 0.0000 0.0000 5.2422 0.0000 0.0000 0.0000 5.0572" Properties=species:S:1:pos:R:3 pbc="T T T"
Ac 0.0000 0.0000 0.0000
Tb 0.0000 2.6211 2.5286
Tb 2.6211 0.0000 2.5286
Th 2.6211 2.6211 0.0000
```

Symmetry ... P4/mmm, No. 123
Total magnetic moment ... 0.00 μB/cell
ρ ... 9282 kg/m³
Energy of formation from the pure elements ... 0.085 eV/atom
Crystal system ... tetragonal

***

Here is an optimized crystal structure of AcTbTh2 from Alexandria. Energies are from PBE-GGA.

```
4
Lattice="1.8296 1.0563 11.9951 -1.8296 1.0563 11.9951 0.0000 -2.1126 11.9951" Properties=species:S:1:pos:R:3 pbc="T T T"
Ac 0.0000 0.0000 0.0000
Tb 0.0000 0.0000 6.0762
Th 0.0000 0.0000 20.9189
Th 0.0000 0.0000 27.1371
```

Symmetry ... R3m, No. 160
Total magnetic moment ... 0.00 μB/cell
ρ ... 10147 kg/m³
Energy of formation from the pure elements ... 0.114 eV/atom
Crystal system ... trigonal

***

Here is an optimized crystal structure of AcTbTmTh from Alexandria. Energies are from PBE-GGA.

```
4
Lattice="0.0000 4.0985 4.0985 4.0985 0.0000 4.0985 4.0985 4.0985 0.0000" Properties=species:S:1:pos:R:3 pbc="T T T"
Ac 0.0000 0.0000 0.0000
Tb 6.1478 6.1478 6.1478
Tm 2.0493 2.0493 2.0493
Th 4.0985 4.0985 4.0985
```

Symmetry ... F-43m, No. 216
Total magnetic moment ... 0.00 μB/cell
ρ ... 9490 kg/m³
Energy of formation from the pure elements ... 0.138 eV/atom
Crystal system ... cubic

***

Here is an optimized crystal structure of AcTb2Ti from Alexandria. Energies are from PBE-GGA.

```
4
Lattice="1.7492 1.0099 12.0656 -1.7492 1.0099 12.0656 0.0000 -2.0198 12.0656" Properties=species:S:1:pos:R:3 pbc="T T T"
Ac 0.0000 0.0000 0.0000
Tb 0.0000 0.0000 15.1525
Tb 0.0000 0.0000 21.0444
Ti 0.0000 0.0000 18.0985
```

Symmetry ... R-3m, No. 166
Total magnetic moment ... 1.97 μB/cell
ρ ... 7696 kg/m³
Energy of formation from the pure elements ... 0.542 eV/atom
Crystal system ... trigonal

***

Here is an optimized crystal structure of Ac2TbTi from Alexandria. Energies are from PBE-GGA.

```
4
Lattice="1.8138 1.0472 12.4687 -1.8138 1.0472 12.4687 0.0000 -2.0944 12.4687" Properties=species:S:1:pos:R:3 pbc="T T T"
Ac 0.0000 0.0000 3.1395
Ac 0.0000 0.0000 34.2666
Tb 0.0000 0.0000 18.7031
Ti 0.0000 0.0000 0.0000
```

Symmetry ... R-3m, No. 166
Total magnetic moment ... 2.03 μB/cell
ρ ... 7722 kg/m³
Energy of formation from the pure elements ... 0.606 eV/atom
Crystal system ... trigonal

***

Here is an optimized crystal structure of AcTbTl from Alexandria. Energies are from PBE-GGA.

```
6
Lattice="3.5076 -3.5070 0.0000 3.5076 3.5070 0.0000 -0.0120 0.0000 8.5385" Properties=species:S:1:pos:R:3 pbc="T T T"
Ac 1.7488 0.0000 1.2607
Ac 5.2543 0.0000 7.2778
Tb 3.5015 1.7533 4.2692
Tb 3.5015 -1.7533 4.2692
Tl 1.7486 0.0000 6.3774
Tl 5.2545 0.0000 2.1610
```

Symmetry ... C2/m, No. 12
Total magnetic moment ... 1.85 μB/cell
ρ ... 9333 kg/m³
Energy of formation from the pure elements ... -0.253 eV/atom
Crystal system ... monoclinic

***

Here is an optimized crystal structure of Ac6TbTl5 from Alexandria. Energies are from PBE-GGA.

```
12
Lattice="-2.7476 4.6616 8.3480 2.7476 -4.6616 8.3480 2.7476 4.6616 -8.3480" Properties=species:S:1:pos:R:3 pbc="T T T"
Ac 2.7476 2.2393 -2.8665
Ac 0.0000 2.1532 0.0000
Ac 2.7476 2.2393 2.8665
Ac 0.0000 2.4224 5.4815
Ac 0.0000 7.1701 0.0000
Ac 0.0000 2.4224 11.2144
Tb 0.0000 0.0000 8.3480
Tl 2.7476 0.0000 0.0000
Tl 0.0000 0.0000 2.8735
Tl 2.7476 0.0000 5.8909
Tl 0.0000 4.6616 2.4571
Tl 0.0000 0.0000 13.8224
```

Symmetry ... Immm, No. 71
Total magnetic moment ... 0.00 μB/cell
ρ ... 9873 kg/m³
Energy of formation from the pure elements ... -0.251 eV/atom
Crystal system ... orthorhombic

***

Here is an optimized crystal structure of AcTbTl from Alexandria. Energies are from PBE-GGA.

```
3
Lattice="-1.7867 1.7867 9.0078 1.7867 -1.7867 9.0078 1.7867 1.7867 -9.0078" Properties=species:S:1:pos:R:3 pbc="T T T"
Ac 0.0000 0.0000 0.0000
Tb 0.0000 0.0000 14.3835
Tl 0.0000 0.0000 3.3007
```

Symmetry ... I4mm, No. 107
Total magnetic moment ... 0.25 μB/cell
ρ ... 8522 kg/m³
Energy of formation from the pure elements ... 0.308 eV/atom
Crystal system ... tetragonal

***

Here is an optimized crystal structure of Ac3TbTl3 from Alexandria. Energies are from PBE-GGA.

```
14
Lattice="4.4010 -5.8079 0.0000 4.4010 5.8079 0.0000 -0.6195 0.0000 10.0406" Properties=species:S:1:pos:R:3 pbc="T T T"
Ac 4.4010 3.7456 0.0000
Ac 4.0913 2.9198 5.0203
Ac 3.4145 0.0000 1.8502
Ac 4.7681 0.0000 8.1904
Ac 4.0913 -2.9198 5.0203
Ac 4.4010 -3.7456 0.0000
Tb 1.9571 0.0000 5.4954
Tb 6.2255 0.0000 4.5452
Tl 0.0770 0.0000 2.7789
Tl 1.8742 2.2684 7.6924
Tl 1.8742 -2.2684 7.6924
Tl 6.3084 2.2684 2.3482
Tl 6.3084 -2.2684 2.3482
Tl 8.1056 0.0000 7.2616
```

Symmetry ... C2/m, No. 12
Total magnetic moment ... 0.00 μB/cell
ρ ... 9402 kg/m³
Energy of formation from the pure elements ... -0.211 eV/atom
Crystal system ... monoclinic

***

Here is an optimized crystal structure of Ac2TbTl3 from Alexandria. Energies are from PBE-GGA.

```
12
Lattice="1.9549 -14.8810 0.0000 1.9549 14.8810 0.0000 0.0000 0.0000 7.2882" Properties=species:S:1:pos:R:3 pbc="T T T"
Ac 1.9549 14.5419 5.4661
Ac 1.9549 10.0444 1.8220
Ac 1.9549 -10.0444 5.4661
Ac 1.9549 -14.5419 1.8220
Tb 1.9549 4.6849 1.8220
Tb 1.9549 -4.6849 5.4661
Tl 1.9549 7.6909 5.4661
Tl 1.9549 2.3246 3.8984
Tl 1.9549 2.3246 7.0338
Tl 1.9549 -2.3246 0.2543
Tl 1.9549 -2.3246 3.3897
Tl 1.9549 -7.6909 1.8220
```

Symmetry ... Cmcm, No. 63
Total magnetic moment ... 0.00 μB/cell
ρ ... 9603 kg/m³
Energy of formation from the pure elements ... -0.198 eV/atom
Crystal system ... orthorhombic